VASP calculation (PBE) on a geometry-optimized TcOsO5 structure.

Geometry as POSCAR:
```
TcOsO5
1.0
6.044 -1.131 -0.602
-2.721 5.514 -0.602
0.065 0.086 6.582
Os O Tc
2 10 2
Direct
0.556 0.444 0.750
0.444 0.556 0.250
0.645 0.917 0.368
0.272 0.398 0.504
0.917 0.645 0.868
0.355 0.083 0.632
0.918 0.082 0.750
0.082 0.918 0.250
0.602 0.728 0.996
0.083 0.355 0.132
0.398 0.272 0.004
0.728 0.602 0.496
0.000 0.000 0.500
0.000 0.000 0.000
```

Summary:
Its uncorrected formation energy is -0.82 eV per atom. The value obtained for the volume is 199.8 Å³/cell. The calculation puts the total energy at -7.447 eV/atom.